(A)
Computed, not measured: an optimized crystal structure of Sm2AsP at the PBE level of DFT.

Lattice parameters (Å, degrees): 4.1605 4.1605 20.3913 90.00 90.00 120.00
Space group R-3m (No. 166, hexagonal axes)
Unique sites:
Sm 0.0000 0.0000 0.2478 x6
As 0.0000 0.0000 0.0000 x3
P 0.0000 0.0000 0.5000 x3

Properties
calculated density	6.6	Mg/m³

(B)
Computed, not measured: an optimized crystal structure of Sm2AsP at the PBE level of DFT.

Lattice parameters (Å, degrees): 4.1110 4.1110 21.3542 90.00 90.00 120.00
Space group R3m (No. 160, hexagonal axes)
Unique sites:
Sm 0.0000 0.0000 0.0000 x3
Sm 0.0000 0.0000 0.1675 x3
As 0.0000 0.0000 0.5846 x3
P 0.0000 0.0000 0.4160 x3

Properties
calculated density	6.5	Mg/m³

Stability summary: most stable (A), least stable (B).

(A)
Computed, not measured: an optimized crystal structure of SnAs3P at the PBE level of DFT.

Lattice parameters (Å, degrees): 5.187 5.187 5.187 90.00 90.00 90.00
Space group Pm-3m (No. 221)
Unique sites:
Sn 0.000 0.000 0.000 x1
As 0.000 0.000 0.500 x3
P 0.500 0.500 0.500 x1

Properties
calculated density	4.5	Mg/m³

(B)
Computed, not measured: an optimized crystal structure of SnAs3P at the PBE level of DFT.

Lattice parameters (Å, degrees): 4.822 4.822 4.822 90.00 90.00 90.00
Space group Pm-3m (No. 221)
Unique sites:
Sn 0.000 0.000 0.000 x1
As 0.000 0.500 0.500 x3
P 0.500 0.500 0.500 x1

Properties
calculated density	5.5	Mg/m³

Stability summary: most stable (B), least stable (A).

(A)
Computed, not measured: an optimized crystal structure of SnAsP2 at the PBE level of DFT.

Lattice parameters (Å, degrees): 5.372 5.372 13.828 90.00 90.00 90.00
Space group I-42d (No. 122)
Unique sites:
Sn 0.000 0.000 0.000 x4
As 0.000 0.000 0.500 x4
P 0.222 0.250 0.625 x8

Properties
calculated density	4.3	Mg/m³

(B)
Computed, not measured: an optimized crystal structure of SnAsP2 at the PBE level of DFT.

Lattice parameters (Å, degrees): 6.681 6.681 6.681 90.00 90.00 90.00
Space group Fm-3m (No. 225)
Unique sites:
Sn 0.000 0.000 0.000 x4
As 0.000 0.000 0.500 x4
P 0.250 0.250 0.250 x8

Properties
calculated density	5.7	Mg/m³

Stability summary: most stable (A), least stable (B).

(A)
Computed, not measured: an optimized crystal structure of Sr3AsP at the PBE level of DFT.

Lattice parameters (Å, degrees): 8.944 8.411 8.667 90.00 98.31 90.00
Space group P2_1/c (No. 14)
Unique sites:
Sr 0.060 0.008 0.224 x4
Sr 0.279 0.115 0.587 x4
Sr 0.373 0.695 0.499 x4
As 0.417 0.073 0.264 x4
P 0.054 0.720 0.011 x4

Properties
calculated density	3.8	Mg/m³

(B)
Computed, not measured: an optimized crystal structure of Sr3AsP at the PBE level of DFT.

Lattice parameters (Å, degrees): 15.831 11.178 7.990 90.00 95.41 90.00
Space group C2/c (No. 15)
Unique sites:
Sr 0.086 0.134 0.108 x8
Sr 0.119 0.468 0.960 x8
Sr 0.179 0.161 0.633 x8
As 0.000 0.099 0.750 x4
As 0.000 0.357 0.250 x4
P 0.245 0.410 0.706 x8

Properties
calculated density	3.5	Mg/m³

Stability summary: most stable (A), least stable (B).

(A)
Computed, not measured: an optimized crystal structure of Tc2AsP at the PBE level of DFT.

Lattice parameters (Å, degrees): 2.849 3.862 5.372 90.00 90.00 90.00
Space group Pmm2 (No. 25)
Unique sites:
Tc 0.000 0.000 0.000 x1
Tc 0.500 0.500 0.326 x1
As 0.000 0.000 0.508 x1
P 0.500 0.500 0.893 x1

Properties
calculated density	8.5	Mg/m³

(B)
Computed, not measured: an optimized crystal structure of Tc2AsP at the PBE level of DFT.

Lattice parameters (Å, degrees): 8.585 3.069 4.482 90.00 105.81 90.00
Space group Cm (No. 8)
Unique sites:
Tc 0.000 0.000 0.000 x2
Tc 0.241 0.000 0.589 x2
As 0.240 0.500 0.121 x2
P 0.005 0.500 0.464 x2

Properties
calculated density	8.8	Mg/m³

Stability summary: most stable (B), least stable (A).

(A)
Computed, not measured: an optimized crystal structure of Tc2AsP at the PBE level of DFT.

Lattice parameters (Å, degrees): 3.002 3.002 6.076 90.00 90.00 90.00
Space group P4/mmm (No. 123)
Unique sites:
Tc 0.000 0.000 0.237 x2
As 0.500 0.500 0.500 x1
P 0.500 0.500 0.000 x1

Properties
calculated density	9.2	Mg/m³

(B)
Computed, not measured: an optimized crystal structure of Tc2AsP at the PBE level of DFT.

Lattice parameters (Å, degrees): 2.9848 2.9848 22.4390 90.00 90.00 120.00
Space group R-3m (No. 166, hexagonal axes)
Unique sites:
Tc 0.0000 0.0000 0.2441 x6
As 0.0000 0.0000 0.0000 x3
P 0.0000 0.0000 0.5000 x3

Properties
calculated density	8.7	Mg/m³

Stability summary: most stable (A), least stable (B).